{
  "formula": "Nd3TmGa2",
  "functional": "GGA-PBE",
  "state": "optimized geometry",
  "final_energy_ev_per_atom": -4.534,
  "de_polymorph_kj_per_mol_atoms": 0.0,
  "lattice_angstrom": [[5.124, 0.000, 0.000], [0.000, 9.692, 0.000], [0.000, 0.000, 6.631]],
  "species": ["Nd", "Nd", "Nd", "Nd", "Nd", "Nd", "Tm", "Tm", "Ga", "Ga", "Ga", "Ga"],
  "frac_coords": [[0.000, 0.047, 0.000], [0.000, 0.336, 0.337], [0.000, 0.664, 0.837], [0.000, 0.953, 0.500], [0.500, 0.179, 0.705], [0.500, 0.821, 0.205], [0.500, 0.446, 0.040], [0.500, 0.554, 0.540], [0.000, 0.352, 0.820], [0.000, 0.648, 0.320], [0.500, 0.149, 0.228], [0.500, 0.851, 0.728]]
}



{
  "formula": "NdYTmGa",
  "functional": "GGA-PBE",
  "state": "optimized geometry",
  "final_energy_ev_per_atom": -4.790,
  "lattice_angstrom": [[0.000, 3.795, 3.795], [3.795, 0.000, 3.795], [3.795, 3.795, 0.000]],
  "species": ["Nd", "Y", "Tm", "Ga"],
  "frac_coords": [[0.000, 0.000, 0.000], [0.500, 0.500, 0.500], [0.250, 0.250, 0.250], [0.750, 0.750, 0.750]]
}



{
  "formula": "NdTmZn2Ga2",
  "functional": "GGA-PBE",
  "state": "optimized geometry",
  "final_energy_ev_per_atom": -3.536,
  "lattice_angstrom": [[4.436, 0.000, 0.000], [-2.218, 3.842, 0.000], [0.000, 0.000, 7.328]],
  "species": ["Nd", "Tm", "Zn", "Zn", "Ga", "Ga"],
  "frac_coords": [[0.000, 0.000, 0.000], [0.000, 0.000, 0.500], [0.333, 0.667, 0.279], [0.667, 0.333, 0.721], [0.333, 0.667, 0.731], [0.667, 0.333, 0.269]]
}



{
  "formula": "Nd2TmZn2Ga2",
  "functional": "GGA-PBE",
  "state": "optimized geometry",
  "final_energy_ev_per_atom": -3.632,
  "lattice_angstrom": [[2.218, 1.281, 9.607], [-2.218, 1.281, 9.607], [0.000, -2.561, 9.607]],
  "species": ["Nd", "Nd", "Tm", "Zn", "Zn", "Ga", "Ga"],
  "frac_coords": [[0.123, 0.123, 0.123], [0.877, 0.877, 0.877], [0.000, 0.000, 0.000], [0.389, 0.389, 0.389], [0.611, 0.611, 0.611], [0.272, 0.272, 0.272], [0.728, 0.728, 0.728]]
}